No. 1
Below is a relaxed Tb4Pm3Tl2 crystal, with properties calculated at the PBE-GGA level.

* N(E_F): 1.231 states/eV per atom
* SG: No. 12

Lattice parameters (Å, degrees): 4.998 7.679 8.081 108.22 108.01 90.00
Atoms (fractional coordinates):
Tb 0.558 0.333 0.116
Tb 0.779 0.688 0.558
Tb 0.442 0.667 0.884
Tb 0.221 0.312 0.442
Pm 0.885 0.326 0.770
Pm 0.115 0.674 0.230
Pm 0.000 0.000 0.000
Tl 0.343 0.001 0.686
Tl 0.657 0.999 0.314

No. 2
Below is a relaxed TbPm2Tl9 crystal, with properties calculated at the PBE-GGA level.

* N(E_F): 0.355 states/eV per atom
* SG: No. 123

Lattice parameters (Å, degrees): 4.804 4.804 14.411 90.00 90.00 90.00
Atoms (fractional coordinates):
Tb 0.000 0.000 0.000
Pm 0.000 0.000 0.333
Pm 0.000 0.000 0.667
Tl 0.500 0.500 0.000
Tl 0.500 0.500 0.333
Tl 0.500 0.500 0.667
Tl 0.500 0.000 0.165
Tl 0.500 0.000 0.500
Tl 0.500 0.000 0.835
Tl 0.000 0.500 0.165
Tl 0.000 0.500 0.500
Tl 0.000 0.500 0.835

No. 3
Below is a relaxed Tb3Pm2Tl crystal, with properties calculated at the PBE-GGA level.

* N(E_F): 1.233 states/eV per atom
* SG: No. 65

Lattice parameters (Å, degrees): 4.934 4.895 8.059 107.68 90.00 90.00
Atoms (fractional coordinates):
Tb 0.500 0.166 0.332
Tb 0.500 0.500 0.000
Tb 0.500 0.834 0.668
Pm 0.000 0.662 0.325
Pm 0.000 0.338 0.675
Tl 0.000 0.000 0.000

No. 4
Below is a relaxed Tb3Pm2Tl3 crystal, with properties calculated at the PBE-GGA level.

* N(E_F): 0.972 states/eV per atom
* SG: No. 71

Lattice parameters (Å, degrees): 4.496 4.972 10.904 103.18 101.90 90.00
Atoms (fractional coordinates):
Tb 0.382 0.382 0.765
Tb 0.618 0.618 0.235
Tb 0.500 0.000 0.000
Pm 0.261 0.761 0.522
Pm 0.739 0.239 0.478
Tl 0.875 0.875 0.751
Tl 0.000 0.500 0.000
Tl 0.125 0.125 0.249

No. 5
Below is a relaxed TbPmTl crystal, with properties calculated at the PBE-GGA level.

* N(E_F): 1.218 states/eV per atom
* SG: No. 194

Lattice parameters (Å, degrees): 5.500 5.500 6.772 90.00 90.00 119.98
Atoms (fractional coordinates):
Tb 0.667 0.833 0.750
Tb 0.333 0.167 0.250
Pm 0.000 0.500 0.000
Pm 0.000 0.500 0.500
Tl 0.333 0.167 0.750
Tl 0.667 0.833 0.250

No. 6
Below is a relaxed TbPm6Tl crystal, with properties calculated at the PBE-GGA level.

* N(E_F): 1.099 states/eV per atom
* SG: No. 123

Lattice parameters (Å, degrees): 4.997 4.997 10.325 90.00 90.00 90.00
Atoms (fractional coordinates):
Tb 0.000 0.000 0.000
Pm 0.500 0.500 0.000
Pm 0.500 0.500 0.500
Pm 0.500 0.000 0.256
Pm 0.500 0.000 0.744
Pm 0.000 0.500 0.256
Pm 0.000 0.500 0.744
Tl 0.000 0.000 0.500

No. 7
Below is a relaxed TbPm12Tl6 crystal, with properties calculated at the PBE-GGA level.

* N(E_F): 1.612 states/eV per atom
* SG: No. 166

Lattice parameters (Å, degrees): 8.944 8.944 8.944 103.38 103.38 103.38
Atoms (fractional coordinates):
Tb 0.000 0.000 0.000
Pm 0.890 0.110 0.500
Pm 0.837 0.576 0.576
Pm 0.576 0.576 0.837
Pm 0.424 0.163 0.424
Pm 0.424 0.424 0.163
Pm 0.163 0.424 0.424
Pm 0.110 0.500 0.890
Pm 0.500 0.890 0.110
Pm 0.110 0.890 0.500
Pm 0.890 0.500 0.110
Pm 0.500 0.110 0.890
Pm 0.576 0.837 0.576
Tl 0.721 0.261 0.261
Tl 0.261 0.261 0.721
Tl 0.261 0.721 0.261
Tl 0.739 0.739 0.279
Tl 0.279 0.739 0.739
Tl 0.739 0.279 0.739

No. 8
Below is a relaxed Tb2Pm3Tl4 crystal, with properties calculated at the PBE-GGA level.

* N(E_F): 0.962 states/eV per atom
* SG: No. 12

Lattice parameters (Å, degrees): 5.380 5.376 10.549 90.06 90.00 59.97
Atoms (fractional coordinates):
Tb 0.333 0.334 0.779
Tb 0.667 0.666 0.221
Pm 0.333 0.333 0.422
Pm 0.000 0.000 0.000
Pm 0.667 0.667 0.578
Tl 0.666 0.667 0.898
Tl 0.000 0.000 0.344
Tl 0.000 0.000 0.656
Tl 0.334 0.333 0.102

No. 9
Below is a relaxed Tb3Pm2Tl6 crystal, with properties calculated at the PBE-GGA level.

* N(E_F): 1.230 states/eV per atom
* SG: No. 139

Lattice parameters (Å, degrees): 5.956 5.956 12.046 104.31 104.31 90.00
Atoms (fractional coordinates):
Tb 0.000 0.000 0.000
Tb 0.859 0.859 0.717
Tb 0.141 0.141 0.283
Pm 0.420 0.420 0.840
Pm 0.580 0.580 0.160
Tl 0.071 0.571 0.143
Tl 0.571 0.071 0.143
Tl 0.929 0.429 0.857
Tl 0.429 0.929 0.857
Tl 0.720 0.720 0.441
Tl 0.280 0.280 0.559

No. 10
Below is a relaxed Tb7Pm3Tl2 crystal, with properties calculated at the PBE-GGA level.

* N(E_F): 1.212 states/eV per atom
* SG: No. 10

Lattice parameters (Å, degrees): 3.639 5.706 19.060 104.06 90.00 90.00
Atoms (fractional coordinates):
Tb 0.500 0.718 0.460
Tb 0.500 0.282 0.540
Tb 0.000 0.477 0.150
Tb 0.000 0.000 0.000
Tb 0.000 0.523 0.850
Tb 0.500 0.006 0.831
Tb 0.500 0.994 0.169
Pm 0.500 0.500 0.000
Pm 0.000 0.139 0.364
Pm 0.000 0.861 0.636
Tl 0.500 0.582 0.292
Tl 0.500 0.418 0.708

No. 11
Below is a relaxed Tb4Pm5Tl4 crystal, with properties calculated at the PBE-GGA level.

* N(E_F): 1.064 states/eV per atom
* SG: No. 87

Lattice parameters (Å, degrees): 5.116 9.233 9.233 85.60 73.92 73.92
Atoms (fractional coordinates):
Tb 0.907 0.489 0.698
Tb 0.605 0.302 0.489
Tb 0.093 0.511 0.302
Tb 0.395 0.698 0.511
Pm 0.691 0.912 0.706
Pm 0.309 0.088 0.294
Pm 0.000 0.000 0.000
Pm 0.603 0.706 0.088
Pm 0.397 0.294 0.912
Tl 0.764 0.337 0.135
Tl 0.236 0.663 0.865
Tl 0.899 0.865 0.337
Tl 0.101 0.135 0.663

No. 12
Below is a relaxed Tb2Pm5Tl crystal, with properties calculated at the PBE-GGA level.

* N(E_F): 1.285 states/eV per atom
* SG: No. 71

Lattice parameters (Å, degrees): 3.495 11.289 8.821 129.78 101.43 90.00
Atoms (fractional coordinates):
Tb 0.268 0.768 0.537
Tb 0.732 0.232 0.463
Pm 0.000 0.500 0.000
Pm 0.631 0.395 0.262
Pm 0.369 0.605 0.738
Pm 0.631 0.866 0.262
Pm 0.369 0.134 0.738
Tl 0.000 0.000 0.000

No. 13
Below is a relaxed Tb5Pm12Tl2 crystal, with properties calculated at the PBE-GGA level.

* N(E_F): 1.409 states/eV per atom
* SG: No. 12

Lattice parameters (Å, degrees): 9.426 9.089 8.584 92.63 90.00 121.23
Atoms (fractional coordinates):
Tb 0.233 0.465 0.585
Tb 0.314 0.629 0.994
Tb 0.000 0.000 0.500
Tb 0.686 0.371 0.006
Tb 0.767 0.535 0.415
Pm 0.917 0.835 0.116
Pm 0.035 0.700 0.765
Pm 0.665 0.700 0.765
Pm 0.182 0.753 0.343
Pm 0.571 0.753 0.343
Pm 0.444 0.888 0.681
Pm 0.556 0.112 0.319
Pm 0.818 0.247 0.657
Pm 0.429 0.247 0.657
Pm 0.965 0.300 0.235
Pm 0.335 0.300 0.235
Pm 0.083 0.165 0.884
Tl 0.684 0.000 0.000
Tl 0.316 0.000 0.000

No. 14
Below is a relaxed Tb12Pm7Tl crystal, with properties calculated at the PBE-GGA level.

* N(E_F): 1.406 states/eV per atom
* SG: No. 148

Lattice parameters (Å, degrees): 8.726 8.726 8.726 87.34 87.34 87.34
Atoms (fractional coordinates):
Tb 0.866 0.249 0.743
Tb 0.751 0.257 0.134
Tb 0.611 0.141 0.503
Tb 0.859 0.497 0.389
Tb 0.257 0.134 0.751
Tb 0.497 0.389 0.859
Tb 0.503 0.611 0.141
Tb 0.743 0.866 0.249
Tb 0.141 0.503 0.611
Tb 0.389 0.859 0.497
Tb 0.249 0.743 0.866
Tb 0.134 0.751 0.257
Pm 0.854 0.609 0.920
Pm 0.391 0.080 0.146
Pm 0.080 0.146 0.391
Pm 0.500 0.500 0.500
Pm 0.920 0.854 0.609
Pm 0.609 0.920 0.854
Pm 0.146 0.391 0.080
Tl 0.000 0.000 0.000

No. 15
Below is a relaxed Tb15PmTl4 crystal, with properties calculated at the PBE-GGA level.

* N(E_F): 1.416 states/eV per atom
* SG: No. 123

Lattice parameters (Å, degrees): 4.876 4.876 24.916 90.00 90.00 90.00
Each line ends with the local moment (μB).
Atoms (fractional coordinates):
Tb 0.500 0.500 0.000  0.01
Tb 0.500 0.500 0.206  0.10
Tb 0.500 0.500 0.402  0.18
Tb 0.500 0.500 0.598  0.18
Tb 0.500 0.500 0.794  0.10
Tb 0.500 0.000 0.106  0.04
Tb 0.500 0.000 0.304  0.12
Tb 0.500 0.000 0.500  0.18
Tb 0.500 0.000 0.696  0.12
Tb 0.500 0.000 0.894  0.04
Tb 0.000 0.500 0.106  0.04
Tb 0.000 0.500 0.304  0.12
Tb 0.000 0.500 0.500  0.18
Tb 0.000 0.500 0.696  0.12
Tb 0.000 0.500 0.894  0.04
Pm 0.000 0.000 0.000  0.00
Tl 0.000 0.000 0.207  0.00
Tl 0.000 0.000 0.402  -0.01
Tl 0.000 0.000 0.598  -0.01
Tl 0.000 0.000 0.793  0.00

No. 16
Below is a relaxed Tb3PmTl2 crystal, with properties calculated at the PBE-GGA level.

* N(E_F): 1.166 states/eV per atom
* SG: No. 12

Lattice parameters (Å, degrees): 5.411 9.315 9.337 124.35 90.00 106.88
Each line ends with the local moment (μB).
Atoms (fractional coordinates):
Tb 0.306 0.613 0.607  0.03
Tb 0.941 0.882 0.596  0.09
Tb 0.617 0.233 0.690  0.08
Tb 0.383 0.767 0.310  0.08
Tb 0.059 0.118 0.404  0.09
Tb 0.694 0.387 0.393  0.03
Pm 0.870 0.739 0.911  0.01
Pm 0.130 0.261 0.089  0.01
Tl 0.519 0.038 0.866  0.00
Tl 0.481 0.962 0.134  0.00
Tl 0.777 0.554 0.146  0.00
Tl 0.223 0.446 0.854  0.00

No. 17
Below is a relaxed TbPm5Tl2 crystal, with properties calculated at the PBE-GGA level.

* N(E_F): 1.340 states/eV per atom
* SG: No. 71

Lattice parameters (Å, degrees): 3.693 8.533 8.533 79.92 77.50 77.50
Atoms (fractional coordinates):
Tb 0.000 0.000 0.000
Pm 0.000 0.500 0.500
Pm 0.637 0.585 0.140
Pm 0.363 0.415 0.860
Pm 0.363 0.860 0.415
Pm 0.637 0.140 0.585
Tl 0.726 0.774 0.774
Tl 0.274 0.226 0.226

No. 18
Below is a relaxed Tb3Pm6Tm2Tl crystal, with properties calculated at the PBE-GGA level.

* N(E_F): 1.175 states/eV per atom
* SG: No. 12

Lattice parameters (Å, degrees): 6.204 6.204 11.742 95.11 95.11 120.13
Atoms (fractional coordinates):
Tb 0.168 0.832 0.500
Tb 0.832 0.168 0.500
Tb 0.500 0.500 0.500
Pm 0.918 0.590 0.754
Pm 0.753 0.753 0.248
Pm 0.082 0.410 0.246
Pm 0.590 0.918 0.754
Pm 0.247 0.247 0.752
Pm 0.410 0.082 0.246
Tm 0.334 0.666 0.000
Tm 0.666 0.334 0.000
Tl 0.000 0.000 0.000

No. 19
Below is a relaxed TbPmTm2Tl4 crystal, with properties calculated at the PBE-GGA level.

* N(E_F): 0.814 states/eV per atom
* SG: No. 166

Lattice parameters (Å, degrees): 5.371 5.371 9.331 73.27 73.27 60.00
Atoms (fractional coordinates):
Tb 0.500 0.500 0.500
Pm 0.000 0.000 0.000
Tm 0.750 0.750 0.749
Tm 0.250 0.250 0.251
Tl 0.376 0.376 0.872
Tl 0.874 0.874 0.378
Tl 0.126 0.126 0.622
Tl 0.624 0.624 0.128

No. 20
Below is a relaxed Tb6Pm3Tm2Tl crystal, with properties calculated at the PBE-GGA level.

* N(E_F): 1.344 states/eV per atom
* SG: No. 12

Lattice parameters (Å, degrees): 6.164 6.164 11.640 95.10 95.10 120.03
Atoms (fractional coordinates):
Tb 0.920 0.591 0.757
Tb 0.752 0.752 0.245
Tb 0.080 0.409 0.243
Tb 0.591 0.920 0.757
Tb 0.248 0.248 0.755
Tb 0.409 0.080 0.243
Pm 0.167 0.833 0.500
Pm 0.833 0.167 0.500
Pm 0.500 0.500 0.500
Tm 0.334 0.666 0.000
Tm 0.666 0.334 0.000
Tl 0.000 0.000 0.000

| no. | ΔE_f (eV per atom) |
| --- | --- |
| 1 | -0.112 |
| 2 | -0.289 |
| 3 | -0.101 |
| 4 | -0.257 |
| 5 | -0.266 |
| 6 | -0.085 |
| 7 | 0.018 |
| 8 | -0.309 |
| 9 | 0.125 |
| 10 | -0.026 |
| 11 | -0.252 |
| 12 | -0.007 |
| 13 | 0.012 |
| 14 | 0.158 |
| 15 | -0.136 |
| 16 | -0.173 |
| 17 | -0.112 |
| 18 | -0.006 |
| 19 | -0.329 |
| 20 | -0.007 |